(1)
Entry from Alexandria: a relaxed SmCo12 crystal (GGA-PBE).

## Properties
* crystal system: tetragonal
* VASP energy: -175.5 eV for the cell shown
* formation enthalpy at 0 K: 0.1708 eV per atom

Lattice parameters (Å, degrees): 8.893 8.893 4.101 90.00 90.00 90.00
Space group I4/mmm (No. 139)
Unique sites:
Sm (0.000, 0.000, 0.000) x2
Co (0.000, 0.233, 0.500) x8
Co (0.000, 0.373, 0.000) x8
Co (0.215, 0.215, 0.000) x8

(2)
Entry from Alexandria: a relaxed Ce2Al3GaPt4 crystal (GGA-PBE).

## Properties
* crystal system: tetragonal
* VASP energy: -60.8 eV for the cell shown
* formation enthalpy at 0 K: -1.0498 eV per atom

Lattice parameters (Å, degrees): 4.281 4.281 10.406 90.00 90.00 90.00
Space group P-4m2 (No. 115)
Unique sites:
Ce (0.000, 0.500, 0.246) x2
Al (0.000, 0.000, 0.000) x1
Al (0.000, 0.500, 0.627) x2
Ga (0.500, 0.500, 0.000) x1
Pt (0.000, 0.000, 0.500) x1
Pt (0.000, 0.500, 0.864) x2
Pt (0.500, 0.500, 0.500) x1

(3)
Entry from Alexandria: a relaxed TiRhS3 crystal (GGA-PBE).

## Properties
* crystal system: cubic
* distance to the lowest polymorph of the same formula: 1111 meV/atom
* formation energy without anion corrections: 0.24 eV/atom
* VASP energy: -26.4 eV for the cell shown

Lattice parameters (Å, degrees): 4.566 4.566 4.566 90.00 90.00 90.00
Space group Pm-3m (No. 221)
Unique sites:
Ti (0.000, 0.000, 0.000) x1
Rh (0.500, 0.500, 0.500) x1
S (0.000, 0.500, 0.500) x3

(4)
Entry from Alexandria: a relaxed Ho5Tl3 crystal (GGA-PBE).

## Properties
* crystal system: tetragonal
* distance to the lowest polymorph of the same formula: 21 meV/atom
* VASP energy: -128.9 eV for the cell shown
* formation enthalpy at 0 K: -0.2790 eV per atom

Lattice parameters (Å, degrees): 8.100 8.100 14.016 90.00 90.00 90.00
Space group I4/mcm (No. 140)
Unique sites:
Ho (0.000, 0.000, 0.000) x4
Ho (0.158, 0.342, 0.153) x16
Tl (0.000, 0.000, 0.250) x4
Tl (0.138, 0.362, 0.500) x8

(5)
Entry from Alexandria: a relaxed PaTiNbCu crystal (GGA-PBE).

## Properties
* crystal system: cubic
* VASP energy: -125.1 eV for the cell shown
* formation enthalpy at 0 K: 0.0724 eV per atom

Lattice parameters (Å, degrees): 6.664 6.664 6.664 90.00 90.00 90.00
Space group F-43m (No. 216)
Unique sites:
Pa (0.000, 0.000, 0.000) x4
Ti (0.000, 0.000, 0.500) x4
Nb (0.250, 0.250, 0.250) x4
Cu (0.250, 0.250, 0.750) x4

(6)
Entry from Alexandria: a relaxed SmTlIn2I6 crystal (GGA-PBE).

## Properties
* crystal system: triclinic
* formation energy without anion corrections: -0.87 eV/atom
* VASP energy: -30.6 eV for the cell shown

Lattice parameters (Å, degrees): 8.600 8.612 9.025 61.60 61.59 60.08
Space group P1 (No. 1)
Unique sites:
Sm (0.000, 0.000, 0.000) x1
Tl (0.493, 0.492, 0.523) x1
In (0.195, 0.195, 0.416) x1
In (0.686, 0.686, 0.941) x1
I (0.092, 0.367, 0.742) x1
I (0.246, 0.891, 0.220) x1
I (0.367, 0.799, 0.741) x1
I (0.644, 0.245, 0.220) x1
I (0.798, 0.092, 0.742) x1
I (0.892, 0.644, 0.220) x1